VASP calculation (GGA-PBE) on a geometry-optimized BaAc2Zn2 structure.

Calculated values
- Symmetry: Cmmm, No. 65
- Spin magnetization: 0.0 μB/f.u.
- DFT total energy: -13.1 eV per formula unit

Cell lengths 3.976, 3.955, 11.570 Å; angles 80.16, 90.00, 90.00 degrees
Fractional positions:
1 Ba 0.000 0.000 0.000
2 Ac 0.000 0.173 0.653
3 Ac 0.000 0.827 0.347
4 Zn 0.500 0.403 0.193
5 Zn 0.500 0.597 0.807